A plane-wave DFT calculation with GGA-PBE was carried out for crystalline NaOsSe2 at its relaxed geometry.

Lattice parameters (Å, degrees): 6.381 6.381 6.381 106.16 106.16 116.32
Sites, in units of the cell vectors:
Na 0.000 0.000 0.000
Na 0.750 0.250 0.500
Os 0.250 0.750 0.500
Os 0.500 0.500 0.000
Se 0.228 0.625 0.103
Se 0.375 0.478 0.603
Se 0.522 0.125 0.897
Se 0.875 0.772 0.397

Values from the calculation:
- symmetry = I-42d
- N(E_F) (states/eV/cell) = 3.816
- VASP energy (eV per atom) = -5.03
- ΔE_f (raw) (eV per formula unit) = -0.6